# 1
# KBePt2W (GGA-PBE, relaxed)
# DOS at the Fermi energy, states/eV/atom: 0.7351
# Volume, Å³ per cell: 115.0
# ΔE_f, eV/atom: 0.756
# Energy relative to the lowest polymorph listed for this composition, eV/f.u.: 0.00
data_KBePt2W
_chemical_formula_sum 'K1 Be1 Pt2 W1'
_cell_length_a 4.9318
_cell_length_b 4.9318
_cell_length_c 4.7290
_cell_angle_alpha 90.00
_cell_angle_beta 90.00
_cell_angle_gamma 90.00
_space_group_name_H-M_alt 'P 4/m m m'
_space_group_IT_number 123
_space_group_name_Hall '-P 4 2'
loop_
_atom_site_label
_atom_site_type_symbol
_atom_site_fract_x
_atom_site_fract_y
_atom_site_fract_z
_atom_site_occupancy
K1 K 0.0000 0.0000 0.0000 1
Be1 Be 0.5000 0.5000 0.0000 1
Pt1 Pt 0.0000 0.5000 0.5000 1
W1 W 0.5000 0.5000 0.5000 1



# 2
# ZrTlNO2 (GGA-PBE, relaxed)
# DOS at the Fermi energy, states/eV/atom: 0.8777
# Volume, Å³ per cell: 77.3
# Raw formation energy, kJ/mol of atoms: -107.8
data_ZrTlNO2
_chemical_formula_sum 'Zr1 Tl1 N1 O2'
_cell_length_a 4.1443
_cell_length_b 4.1443
_cell_length_c 4.4986
_cell_angle_alpha 90.00
_cell_angle_beta 90.00
_cell_angle_gamma 90.00
_space_group_name_H-M_alt 'P 4/m m m'
_space_group_IT_number 123
_space_group_name_Hall '-P 4 2'
loop_
_atom_site_label
_atom_site_type_symbol
_atom_site_fract_x
_atom_site_fract_y
_atom_site_fract_z
_atom_site_occupancy
Zr1 Zr 0.0000 0.0000 0.0000 1
Tl1 Tl 0.5000 0.5000 0.5000 1
N1 N 0.0000 0.0000 0.5000 1
O1 O 0.0000 0.5000 0.0000 1



# 3
# Ta2MnCu (GGA-PBE, relaxed)
# DOS at the Fermi energy, states/eV/atom: 0.9959
# Volume, Å³ per cell: 121.0
# ΔE_f, eV/atom: 0.175
data_Ta2MnCu
_chemical_formula_sum 'Ta4 Mn2 Cu2'
_cell_length_a 3.7910
_cell_length_b 3.7910
_cell_length_c 8.4161
_cell_angle_alpha 90.00
_cell_angle_beta 90.00
_cell_angle_gamma 90.00
_space_group_name_H-M_alt 'I -4 m 2'
_space_group_IT_number 119
_space_group_name_Hall 'I -4 -2'
loop_
_atom_site_label
_atom_site_type_symbol
_atom_site_fract_x
_atom_site_fract_y
_atom_site_fract_z
_atom_site_occupancy
Ta1 Ta 0.0000 0.0000 0.0000 1
Ta2 Ta 0.0000 0.5000 0.2500 1
Mn1 Mn 0.0000 0.0000 0.5000 1
Cu1 Cu 0.0000 0.5000 0.7500 1



# 4
# Cd2IrPt2 (GGA-PBE, relaxed)
# DOS at the Fermi energy, states/eV/atom: 1.0697
# Volume, Å³ per cell: 186.8
# ΔE_f, eV/atom: 0.067
data_Cd2IrPt2
_chemical_formula_sum 'Cd4 Ir2 Pt4'
_cell_length_a 6.7054
_cell_length_b 6.7054
_cell_length_c 4.1556
_cell_angle_alpha 90.00
_cell_angle_beta 90.00
_cell_angle_gamma 90.00
_space_group_name_H-M_alt 'P 4/m b m'
_space_group_IT_number 127
_space_group_name_Hall '-P 4 2ab'
loop_
_atom_site_label
_atom_site_type_symbol
_atom_site_fract_x
_atom_site_fract_y
_atom_site_fract_z
_atom_site_occupancy
Cd1 Cd 0.1723 0.3277 0.0000 1
Ir1 Ir 0.0000 0.0000 0.5000 1
Pt1 Pt 0.1347 0.6347 0.5000 1



# 5
# YBiIO2 (GGA-PBE, relaxed)
# DOS at the Fermi energy, states/eV/atom: 0.6167
# Volume, Å³ per cell: 122.0
# Raw formation energy, kJ/mol of atoms: -44.4
data_YBiIO2
_chemical_formula_sum 'Y1 Bi1 I1 O2'
_cell_length_a 4.4832
_cell_length_b 4.4832
_cell_length_c 6.0704
_cell_angle_alpha 90.00
_cell_angle_beta 90.00
_cell_angle_gamma 90.00
_space_group_name_H-M_alt 'P 4/m m m'
_space_group_IT_number 123
_space_group_name_Hall '-P 4 2'
loop_
_atom_site_label
_atom_site_type_symbol
_atom_site_fract_x
_atom_site_fract_y
_atom_site_fract_z
_atom_site_occupancy
Y1 Y 0.0000 0.0000 0.0000 1
Bi1 Bi 0.5000 0.5000 0.5000 1
I1 I 0.5000 0.5000 0.0000 1
O1 O 0.0000 0.5000 0.5000 1



# 6
# K2CeS2Cl2 (GGA-PBE, relaxed)
# Volume, Å³ per cell: 455.1
# Raw formation energy, kJ/mol of atoms: -173.3
data_K2CeS2Cl2
_chemical_formula_sum 'K4 Ce2 S4 Cl4'
_cell_length_a 5.3327
_cell_length_b 5.3327
_cell_length_c 16.0028
_cell_angle_alpha 90.00
_cell_angle_beta 90.00
_cell_angle_gamma 90.00
_space_group_name_H-M_alt 'I 4/m m m'
_space_group_IT_number 139
_space_group_name_Hall '-I 4 2'
loop_
_atom_site_label
_atom_site_type_symbol
_atom_site_fract_x
_atom_site_fract_y
_atom_site_fract_z
_atom_site_occupancy
K1 K 0.0000 0.0000 0.1332 1
Ce1 Ce 0.0000 0.0000 0.5000 1
S1 S 0.0000 0.5000 0.0000 1
Cl1 Cl 0.0000 0.0000 0.3290 1



# 7
# LaRe2Ni (GGA-PBE, relaxed)
# DOS at the Fermi energy, states/eV/atom: 0.8610
# Volume, Å³ per cell: 156.6
# ΔE_f, eV/atom: 0.279
# Energy relative to the lowest polymorph listed for this composition, eV/f.u.: 0.74
data_LaRe2Ni
_chemical_formula_sum 'La2 Re4 Ni2'
_cell_length_a 4.8666
_cell_length_b 6.9261
_cell_length_c 4.6447
_cell_angle_alpha 90.00
_cell_angle_beta 90.00
_cell_angle_gamma 90.00
_space_group_name_H-M_alt 'C m m m'
_space_group_IT_number 65
_space_group_name_Hall '-C 2 2'
loop_
_atom_site_label
_atom_site_type_symbol
_atom_site_fract_x
_atom_site_fract_y
_atom_site_fract_z
_atom_site_occupancy
La1 La 0.0000 0.0000 0.0000 1
Re1 Re 0.0000 0.3247 0.5000 1
Ni1 Ni 0.0000 0.5000 0.0000 1



# 8
# TiCuRh (GGA-PBE, relaxed)
# DOS at the Fermi energy, states/eV/atom: 0.4866
# Volume, Å³ per cell: 85.3
# ΔE_f, eV/atom: -0.475
# Energy relative to the lowest polymorph listed for this composition, eV/f.u.: 0.02
data_TiCuRh
_chemical_formula_sum 'Ti2 Cu2 Rh2'
_cell_length_a 4.6377
_cell_length_b 4.6401
_cell_length_c 4.8209
_cell_angle_alpha 100.35
_cell_angle_beta 100.67
_cell_angle_gamma 118.33
_space_group_name_H-M_alt 'P -1'
_space_group_IT_number 2
_space_group_name_Hall '-P 1'
loop_
_atom_site_label
_atom_site_type_symbol
_atom_site_fract_x
_atom_site_fract_y
_atom_site_fract_z
_atom_site_occupancy
Ti1 Ti 0.1160 0.3847 0.2503 1
Cu1 Cu 0.4470 0.0540 0.2499 1
Rh1 Rh 0.2161 0.2832 0.7502 1



# 9
# FeNi2Ir (GGA-PBE, relaxed)
# DOS at the Fermi energy, states/eV/atom: 1.2769
# Volume, Å³ per cell: 148.6
# ΔE_f, eV/atom: 0.050
data_FeNi2Ir
_chemical_formula_sum 'Fe3 Ni6 Ir3'
_cell_length_a 2.6165
_cell_length_b 2.6165
_cell_length_c 25.0648
_cell_angle_alpha 90.00
_cell_angle_beta 90.00
_cell_angle_gamma 120.00
_space_group_name_H-M_alt 'R -3 m'
_space_group_IT_number 166
_space_group_name_Hall '-R 3 2"'
loop_
_atom_site_label
_atom_site_type_symbol
_atom_site_fract_x
_atom_site_fract_y
_atom_site_fract_z
_atom_site_occupancy
Fe1 Fe 0.0000 0.0000 0.0000 1
Ni1 Ni 0.0000 0.0000 0.2533 1
Ir1 Ir 0.0000 0.0000 0.5000 1



# 10
# PmPr2Ga (GGA-PBE, relaxed)
# DOS at the Fermi energy, states/eV/atom: 1.5498
# Volume, Å³ per cell: 497.8
# ΔE_f, eV/atom: -0.240
# Energy relative to the lowest polymorph listed for this composition, eV/f.u.: 0.00
data_PmPr2Ga
_chemical_formula_sum 'Pm4 Pr8 Ga4'
_cell_length_a 4.2736
_cell_length_b 12.1929
_cell_length_c 9.5526
_cell_angle_alpha 90.00
_cell_angle_beta 90.00
_cell_angle_gamma 90.00
_space_group_name_H-M_alt 'C m c m'
_space_group_IT_number 63
_space_group_name_Hall '-C 2c 2'
loop_
_atom_site_label
_atom_site_type_symbol
_atom_site_fract_x
_atom_site_fract_y
_atom_site_fract_z
_atom_site_occupancy
Pm1 Pm 0.0000 0.0617 0.2500 1
Pr1 Pr 0.0000 0.3588 0.0539 1
Ga1 Ga 0.0000 0.2549 0.7500 1



# 11
# Ag3PbAu3 (GGA-PBE, relaxed)
# DOS at the Fermi energy, states/eV/atom: 0.5550
# Volume, Å³ per cell: 412.4
# ΔE_f, eV/atom: 0.589
data_Ag3PbAu3
_chemical_formula_sum 'Ag6 Pb2 Au6'
_cell_length_a 7.4436
_cell_length_b 7.4436
_cell_length_c 7.4436
_cell_angle_alpha 90.00
_cell_angle_beta 90.00
_cell_angle_gamma 90.00
_space_group_name_H-M_alt 'P m -3 n'
_space_group_IT_number 223
_space_group_name_Hall '-P 4n 2 3'
loop_
_atom_site_label
_atom_site_type_symbol
_atom_site_fract_x
_atom_site_fract_y
_atom_site_fract_z
_atom_site_occupancy
Ag1 Ag 0.0000 0.2500 0.5000 1
Pb1 Pb 0.0000 0.0000 0.0000 1
Au1 Au 0.0000 0.5000 0.2500 1



Looking at DFT total energy for the records above, in order, we have -5.216 -6.948 -9.068 -4.487 -4.823 -4.665 -8.622 -6.923 -7.171 -4.574 -2.567 eV per atom.